Li5Cr2Fe3O10 after structural relaxation, computed with PBE+U.

a b c (Å): 5.133 5.141 7.904
angles (deg): 71.58 71.44 80.08
Element x y z (fractional)
Li 0.496 0.784 0.418
Li 0.519 0.616 0.769
Li 0.000 0.500 0.500
Li 0.481 0.384 0.231
Li 0.504 0.216 0.582
Cr 0.007 0.903 0.691
Cr 0.993 0.097 0.309
Fe 0.005 0.313 0.887
Fe 0.995 0.687 0.113
Fe 0.500 0.000 0.000
O 0.240 0.952 0.860
O 0.771 0.866 0.545
O 0.769 0.666 0.941
O 0.249 0.769 0.232
O 0.233 0.551 0.664
O 0.767 0.449 0.336
O 0.751 0.231 0.768
O 0.231 0.334 0.059
O 0.229 0.134 0.455
O 0.760 0.048 0.140

Final energy in eV/atom: -6.39
V in Å³ per cell: 186.99
M_tot in μB/atom: 1.050